No. 1
Density functional theory data (PBEsol) for FeBIr3 after structural relaxation.

For the size of the total moment, the calculation gives 4.734 μB/f.u. As for the total DFT energy (no corrections): -8.87 eV per atom. As for the energy above the most stable polymorph in this dataset: 0 meV per atom.

It has space group Pm-3m (No. 221), with a = 4.045 Å, b = 4.045 Å, c = 4.045 Å, α = 90.00°, β = 90.00° and γ = 90.00°. The distinct sites, in fractional coordinates, are Fe at (0.000, 0.000, 0.000), B at (0.500, 0.500, 0.500) and Ir at (0.000, 0.500, 0.500).

=====

No. 2
Density functional theory data (PBEsol) for Sr2LaTlS after structural relaxation.

For the size of the total moment, the calculation gives 0.001 μB/f.u. As for the total DFT energy (no corrections): -3.13 eV per atom. The value obtained for the formation energy without anion corrections is 0.39 eV per formula unit.

It has space group P4/mmm (No. 123), with a = 6.685 Å, b = 6.685 Å, c = 5.223 Å, α = 90.00°, β = 90.00° and γ = 90.00°. The distinct sites, in fractional coordinates, are Sr at (0.000, 0.500, 0.000), La at (0.000, 0.000, 0.000), Tl at (0.500, 0.500, 0.500) and S at (0.000, 0.000, 0.500).

=====

No. 3
Density functional theory data (PBEsol) for LiTlRe2 after structural relaxation.

For the size of the total moment, the calculation gives 0.001 μB/f.u. As for the total DFT energy (no corrections): -7.16 eV per atom. As for the energy above the most stable polymorph in this dataset: 174 meV per atom.

It has space group P4/mmm (No. 123), with a = 3.698 Å, b = 3.698 Å, c = 4.595 Å, α = 90.00°, β = 90.00° and γ = 90.00°. The distinct sites, in fractional coordinates, are Li at (0.000, 0.000, 0.000), Tl at (0.500, 0.500, 0.000) and Re at (0.000, 0.500, 0.500).

=====

No. 4
Density functional theory data (PBEsol) for LiRe4Ru after structural relaxation.

For the size of the total moment, the calculation gives 0.000 μB/f.u. As for the total DFT energy (no corrections): -10.37 eV per atom.

It has space group F-43m (No. 216), with a = 7.195 Å, b = 7.195 Å, c = 7.195 Å, α = 90.00°, β = 90.00° and γ = 90.00°. The distinct sites, in fractional coordinates, are Li at (0.000, 0.000, 0.000), Re at (0.126, 0.126, 0.374) and Ru at (0.250, 0.250, 0.750).

=====

No. 5
Density functional theory data (PBEsol) for CoSiPt2 after structural relaxation.

For the size of the total moment, the calculation gives 1.260 μB/f.u. As for the total DFT energy (no corrections): -6.97 eV per atom. The value obtained for the formation energy without anion corrections is -0.46 eV per formula unit.

It has space group F-43m (No. 216), with a = 5.991 Å, b = 5.991 Å, c = 5.991 Å, α = 90.00°, β = 90.00° and γ = 90.00°. The distinct sites, in fractional coordinates, are Co at (0.000, 0.000, 0.000), Si at (0.250, 0.250, 0.250), Pt at (0.000, 0.000, 0.500) and Pt at (0.250, 0.250, 0.750).

=====

No. 6
Density functional theory data (PBEsol) for Th2Al after structural relaxation.

For the size of the total moment, the calculation gives 0.000 μB/f.u. As for the total DFT energy (no corrections): -6.98 eV per atom.

It has space group I4/mcm (No. 140), with a = 7.613 Å, b = 7.613 Å, c = 5.617 Å, α = 90.00°, β = 90.00° and γ = 90.00°. The distinct sites, in fractional coordinates, are Th at (0.158, 0.342, 0.000) and Al at (0.000, 0.000, 0.250).

=====

No. 7
Density functional theory data (PBEsol) for Al2HgSe4 after structural relaxation.

For the size of the total moment, the calculation gives 0.000 μB/f.u. As for the total DFT energy (no corrections): -4.11 eV per atom. The value obtained for the formation energy without anion corrections is -4.65 eV per formula unit. As for the energy above the most stable polymorph in this dataset: 5 meV per atom.

It has space group I-4 (No. 82), with a = 5.724 Å, b = 5.724 Å, c = 10.783 Å, α = 90.00°, β = 90.00° and γ = 90.00°. The distinct sites, in fractional coordinates, are Al at (0.000, 0.000, 0.000), Al at (0.000, 0.500, 0.250), Hg at (0.000, 0.500, 0.750) and Se at (0.222, 0.740, 0.391).

=====

No. 8
Density functional theory data (PBEsol) for LaIn after structural relaxation.

For the size of the total moment, the calculation gives 0.005 μB/f.u. As for the total DFT energy (no corrections): -4.27 eV per atom.

It has space group Fm-3m (No. 225), with a = 6.496 Å, b = 6.496 Å, c = 6.496 Å, α = 90.00°, β = 90.00° and γ = 90.00°. The distinct sites, in fractional coordinates, are La at (0.000, 0.000, 0.000) and In at (0.000, 0.000, 0.500).

=====

No. 9
Density functional theory data (PBEsol) for SrZn2Se2 after structural relaxation.

For the size of the total moment, the calculation gives 0.000 μB/f.u. As for the total DFT energy (no corrections): -3.37 eV per atom. The value obtained for the formation energy without anion corrections is -4.13 eV per formula unit.

It has space group I4/mmm (No. 139), with a = 4.906 Å, b = 4.906 Å, c = 9.008 Å, α = 90.00°, β = 90.00° and γ = 90.00°. The distinct sites, in fractional coordinates, are Sr at (0.000, 0.000, 0.000), Zn at (0.000, 0.000, 0.368) and Se at (0.000, 0.500, 0.250).

=====

No. 10
Density functional theory data (PBEsol) for YCrReI2 after structural relaxation.

For the size of the total moment, the calculation gives 4.290 μB/f.u. As for the total DFT energy (no corrections): -5.66 eV per atom. The value obtained for the formation energy without anion corrections is 5.61 eV per formula unit.

It has space group P4/mmm (No. 123), with a = 5.301 Å, b = 5.301 Å, c = 5.285 Å, α = 90.00°, β = 90.00° and γ = 90.00°. The distinct sites, in fractional coordinates, are Y at (0.000, 0.000, 0.000), Cr at (0.500, 0.500, 0.000), Re at (0.000, 0.000, 0.500) and I at (0.000, 0.500, 0.500).

=====

No. 11
Density functional theory data (PBEsol) for Ca2LaOs after structural relaxation.

For the size of the total moment, the calculation gives 0.000 μB/f.u. As for the total DFT energy (no corrections): -4.87 eV per atom. As for the energy above the most stable polymorph in this dataset: 188 meV per atom.

It has space group C2/m (No. 12), with a = 5.976 Å, b = 10.993 Å, c = 3.529 Å, α = 90.00°, β = 119.88° and γ = 90.00°. The distinct sites, in fractional coordinates, are Ca at (0.250, 0.250, 0.000), La at (0.000, 0.000, 0.500) and Os at (0.000, 0.500, 0.500).

=====

No. 12
Density functional theory data (PBEsol) for Ca2SnS4 after structural relaxation.

For the size of the total moment, the calculation gives 0.000 μB/f.u. As for the total DFT energy (no corrections): -5.04 eV per atom. The value obtained for the formation energy without anion corrections is -9.24 eV per formula unit. As for the energy above the most stable polymorph in this dataset: 101 meV per atom.

It has space group Fd-3m (No. 227, origin choice 2), with a = 11.136 Å, b = 11.136 Å, c = 11.136 Å, α = 90.00°, β = 90.00° and γ = 90.00°. The distinct sites, in fractional coordinates, are Ca at (0.000, 0.000, 0.000), Sn at (0.125, 0.125, 0.625) and S at (0.000, 0.000, 0.250).

=====

No. 13
Density functional theory data (PBEsol) for ScFe after structural relaxation.

For the size of the total moment, the calculation gives 1.200 μB/f.u. As for the total DFT energy (no corrections): -6.18 eV per atom.

It has space group F-43m (No. 216), with a = 5.573 Å, b = 5.573 Å, c = 5.573 Å, α = 90.00°, β = 90.00° and γ = 90.00°. The distinct sites, in fractional coordinates, are Sc at (0.000, 0.000, 0.000) and Fe at (0.250, 0.250, 0.250).

=====

No. 14
Density functional theory data (PBEsol) for Nd3GaNiSe7 after structural relaxation.

For the size of the total moment, the calculation gives 2.016 μB/f.u. As for the total DFT energy (no corrections): -5.65 eV per atom. The value obtained for the formation energy without anion corrections is -15.88 eV per formula unit.

It has space group P6_3 (No. 173), with a = 10.0076 Å, b = 10.0076 Å, c = 6.5222 Å, α = 90.00°, β = 90.00° and γ = 120.00°. The distinct sites, in fractional coordinates, are Nd at (0.1760, 0.3759, 0.0000), Ga at (0.3333, 0.6667, 0.5820), Ni at (0.0000, 0.0000, 0.1688), Se at (0.0774, 0.5472, 0.7202), Se at (0.1083, 0.2298, 0.4088) and Se at (0.3333, 0.6667, 0.2171).

=====

No. 15
Density functional theory data (PBEsol) for Al3GaOs after structural relaxation.

For the size of the total moment, the calculation gives 0.000 μB/f.u. As for the total DFT energy (no corrections): -5.44 eV per atom.

It has space group Pm-3m (No. 221), with a = 4.740 Å, b = 4.740 Å, c = 4.740 Å, α = 90.00°, β = 90.00° and γ = 90.00°. The distinct sites, in fractional coordinates, are Al at (0.000, 0.000, 0.500), Ga at (0.500, 0.500, 0.500) and Os at (0.000, 0.000, 0.000).

=====

No. 16
Density functional theory data (PBEsol) for FeNiAg2 after structural relaxation.

For the size of the total moment, the calculation gives 3.324 μB/f.u. As for the total DFT energy (no corrections): -5.04 eV per atom. As for the energy above the most stable polymorph in this dataset: 0 meV per atom.

It has space group C2/m (No. 12), with a = 5.244 Å, b = 8.975 Å, c = 2.646 Å, α = 90.00°, β = 115.58° and γ = 90.00°. The distinct sites, in fractional coordinates, are Fe at (0.000, 0.000, 0.000), Ni at (0.000, 0.500, 0.000) and Ag at (0.250, 0.250, 0.500).

=====

No. 17
Density functional theory data (PBEsol) for Li3V4CrO8 after structural relaxation.

For the size of the total moment, the calculation gives 2.520 μB/f.u. As for the total DFT energy (no corrections): -8.14 eV per atom. The value obtained for the formation energy without anion corrections is -33.53 eV per formula unit.

It has space group C2/m (No. 12), with a = 9.842 Å, b = 5.724 Å, c = 5.871 Å, α = 90.00°, β = 124.60° and γ = 90.00°. The distinct sites, in fractional coordinates, are Li at (0.000, 0.000, 0.000), Li at (0.250, 0.250, 0.000), V at (0.000, 0.000, 0.500), V at (0.000, 0.500, 0.000), V at (0.250, 0.250, 0.500), Cr at (0.000, 0.500, 0.500), O at (0.004, 0.255, 0.748), O at (0.247, 0.500, 0.737) and O at (0.249, 0.500, 0.250).

=====

No. 18
Density functional theory data (PBEsol) for CsZnNiF6 after structural relaxation.

For the size of the total moment, the calculation gives 1.016 μB/f.u. As for the total DFT energy (no corrections): -4.42 eV per atom. The value obtained for the formation energy without anion corrections is -19.58 eV per formula unit.

It has space group Imma (No. 74), with a = 7.190 Å, b = 7.220 Å, c = 10.142 Å, α = 90.00°, β = 90.00° and γ = 90.00°. The distinct sites, in fractional coordinates, are Cs at (0.000, 0.250, 0.129), Zn at (0.250, 0.250, 0.750), Ni at (0.000, 0.000, 0.500), F at (0.000, 0.250, 0.442), F at (0.000, 0.250, 0.831) and F at (0.185, 0.042, 0.624).

=====

No. 19
Density functional theory data (PBEsol) for SrCo2Cl after structural relaxation.

For the size of the total moment, the calculation gives 3.361 μB/f.u. As for the total DFT energy (no corrections): -4.63 eV per atom. The value obtained for the formation energy without anion corrections is 0.82 eV per formula unit. As for the energy above the most stable polymorph in this dataset: 0 meV per atom.

It has space group Pmmm (No. 47), with a = 3.559 Å, b = 3.920 Å, c = 5.706 Å, α = 90.00°, β = 90.00° and γ = 90.00°. The distinct sites, in fractional coordinates, are Sr at (0.000, 0.000, 0.000), Co at (0.000, 0.500, 0.500), Co at (0.500, 0.000, 0.500) and Cl at (0.500, 0.500, 0.000).

=====

No. 20
Density functional theory data (PBEsol) for InHg4As after structural relaxation.

For the size of the total moment, the calculation gives 0.000 μB/f.u. As for the total DFT energy (no corrections): -1.45 eV per atom.

It has space group F-43m (No. 216), with a = 8.310 Å, b = 8.310 Å, c = 8.310 Å, α = 90.00°, β = 90.00° and γ = 90.00°. The distinct sites, in fractional coordinates, are In at (0.000, 0.000, 0.000), Hg at (0.125, 0.125, 0.625) and As at (0.250, 0.250, 0.250).

=====

No. 21
Density functional theory data (PBEsol) for Li2TlPt after structural relaxation.

For the size of the total moment, the calculation gives 0.000 μB/f.u. As for the total DFT energy (no corrections): -3.70 eV per atom.

It has space group Cm (No. 8), with a = 9.374 Å, b = 2.944 Å, c = 4.804 Å, α = 90.00°, β = 100.84° and γ = 90.00°. The distinct sites, in fractional coordinates, are Li at (0.000, 0.000, 0.000), Li at (0.235, 0.000, 0.748), Tl at (0.481, 0.000, 0.483) and Pt at (0.229, 0.500, 0.223).

=====

No. 22
Density functional theory data (PBEsol) for BaZrRu2 after structural relaxation.

For the size of the total moment, the calculation gives 0.005 μB/f.u. As for the total DFT energy (no corrections): -7.15 eV per atom. As for the energy above the most stable polymorph in this dataset: 374 meV per atom.

It has space group F-43m (No. 216), with a = 6.705 Å, b = 6.705 Å, c = 6.705 Å, α = 90.00°, β = 90.00° and γ = 90.00°. The distinct sites, in fractional coordinates, are Ba at (0.000, 0.000, 0.000), Zr at (0.250, 0.250, 0.750), Ru at (0.000, 0.000, 0.500) and Ru at (0.250, 0.250, 0.250).

=====

No. 23
Density functional theory data (PBEsol) for Mn2BeP after structural relaxation.

For the size of the total moment, the calculation gives 0.001 μB/f.u. As for the total DFT energy (no corrections): -7.55 eV per atom. As for the energy above the most stable polymorph in this dataset: 119 meV per atom.

It has space group Imm2 (No. 44), with a = 2.798 Å, b = 3.603 Å, c = 7.678 Å, α = 90.00°, β = 90.00° and γ = 90.00°. The distinct sites, in fractional coordinates, are Mn at (0.000, 0.000, 0.000), Mn at (0.000, 0.500, 0.249), Be at (0.000, 0.000, 0.495) and P at (0.000, 0.500, 0.735).

=====

No. 24
Density functional theory data (PBEsol) for MnFe2Ag after structural relaxation.

For the size of the total moment, the calculation gives 8.148 μB/f.u. As for the total DFT energy (no corrections): -7.26 eV per atom. As for the energy above the most stable polymorph in this dataset: 87 meV per atom.

It has space group Cmmm (No. 65), with a = 5.208 Å, b = 7.637 Å, c = 2.613 Å, α = 90.00°, β = 90.00° and γ = 90.00°. The distinct sites, in fractional coordinates, are Mn at (0.000, 0.000, 0.000), Fe at (0.250, 0.250, 0.500) and Ag at (0.000, 0.500, 0.000).

=====

No. 25
Density functional theory data (PBEsol) for Rb3TmF6 after structural relaxation.

For the size of the total moment, the calculation gives 0.074 μB/f.u. As for the total DFT energy (no corrections): -5.26 eV per atom. The value obtained for the formation energy without anion corrections is -33.09 eV per formula unit.

It has space group Fm-3m (No. 225), with a = 9.420 Å, b = 9.420 Å, c = 9.420 Å, α = 90.00°, β = 90.00° and γ = 90.00°. The distinct sites, in fractional coordinates, are Rb at (0.000, 0.000, 0.000), Rb at (0.250, 0.250, 0.250), Tm at (0.000, 0.000, 0.500) and F at (0.000, 0.000, 0.276).

=====

No. 26
Density functional theory data (PBEsol) for HgPt2W after structural relaxation.

For the size of the total moment, the calculation gives 0.001 μB/f.u. As for the total DFT energy (no corrections): -6.76 eV per atom.

It has space group P2/m (No. 10), with a = 4.920 Å, b = 2.770 Å, c = 5.109 Å, α = 90.00°, β = 111.63° and γ = 90.00°. The distinct sites, in fractional coordinates, are Hg at (0.000, 0.000, 0.000), Pt at (0.500, 0.000, 0.500), Pt at (0.500, 0.500, 0.000) and W at (0.000, 0.500, 0.500).